# 1
SmLuIrRu after structural relaxation, computed with PBE-GGA.

Properties
Its total energy is -0.545 Ry/atom. The value obtained for the energy of formation is -0.5676 eV/atom. As for the space group: F-43m.

a b c (Å): 4.829 4.829 4.829
angles (deg): 60.00 60.00 60.00
Fractional coordinates of all 4 atoms:
Ru  0.750  0.750  0.750
Ir  0.250  0.250  0.250
Lu  0.000  0.000  0.000
Sm  0.500  0.500  0.500

=====

# 2
TbLuIrRu after structural relaxation, computed with PBE-GGA.

Properties
Its total energy is -0.550 Ry/atom. The value obtained for the energy of formation is -0.6608 eV/atom. As for the space group: F-43m.

a b c (Å): 4.785 4.785 4.785
angles (deg): 60.00 60.00 60.00
Fractional coordinates of all 4 atoms:
Tb  0.500  0.500  0.500
Ir  0.750  0.750  0.750
Lu  0.000  0.000  0.000
Ru  0.250  0.250  0.250

=====

# 3
LuThIrRu after structural relaxation, computed with PBE-GGA.

Properties
Its total energy is -0.601 Ry/atom. The value obtained for the energy of formation is -0.6601 eV/atom. As for the space group: F-43m.

a b c (Å): 4.903 4.903 4.903
angles (deg): 60.00 60.00 60.00
Fractional coordinates of all 4 atoms:
Ru  0.000  0.000  0.000
Ir  0.500  0.500  0.500
Lu  0.750  0.750  0.750
Th  0.250  0.250  0.250

=====

# 4
LuTiIrRu after structural relaxation, computed with PBE-GGA.

Properties
Its total energy is -0.615 Ry/atom. The value obtained for the energy of formation is -0.7301 eV/atom. As for the space group: F-43m.

a b c (Å): 4.551 4.551 4.551
angles (deg): 60.00 60.00 60.00
Fractional coordinates of all 4 atoms:
Ru  0.000  0.000  0.000
Ir  0.500  0.500  0.500
Lu  0.750  0.750  0.750
Ti  0.250  0.250  0.250

=====

# 5
TmLuIrRu after structural relaxation, computed with PBE-GGA.

Properties
Its total energy is -0.553 Ry/atom. The value obtained for the energy of formation is -0.7433 eV/atom. As for the space group: F-43m.

a b c (Å): 4.740 4.740 4.740
angles (deg): 60.00 60.00 60.00
Fractional coordinates of all 4 atoms:
Ru  0.500  0.500  0.500
Tm  0.750  0.750  0.750
Ir  0.000  0.000  0.000
Lu  0.250  0.250  0.250

=====

# 6
LuZrIrRu after structural relaxation, computed with PBE-GGA.

Properties
Its total energy is -0.631 Ry/atom. The value obtained for the energy of formation is -0.7791 eV/atom. As for the space group: F-43m.

a b c (Å): 4.687 4.687 4.687
angles (deg): 60.00 60.00 60.00
Fractional coordinates of all 4 atoms:
Ru  0.000  0.000  0.000
Ir  0.500  0.500  0.500
Lu  0.250  0.250  0.250
Zr  0.750  0.750  0.750